Entry 1:
A plane-wave DFT calculation with GGA-PBE was carried out for a relaxed BaYTe2O8 crystal.

a b c (Å): 6.0694 6.0694 7.7267
angles (deg): 90.00 90.00 120.00
Closest atoms and distances in Å follow each position.
Space group P-3 (No. 147)
One atom of each set of equivalent atoms:
Ba 0.0000 0.0000 0.0000 (multiplicity 1)  6 O 2.88
Y 0.0000 0.0000 0.5000 (multiplicity 1)  6 O 2.26
Te 0.3333 0.6667 0.7616 (multiplicity 2)  4 O 1.84-1.90
O 0.1576 0.3178 0.6971 (multiplicity 6)  1 Te 1.90
O 0.3333 0.6667 0.9998 (multiplicity 2)  1 Te 1.84

## Properties
total DFT energy (no corrections) = -75.3 eV/cell
DOS(E_F) = 3.76 states/eV per cell


Entry 2:
A plane-wave DFT calculation with GGA-PBE was carried out for a relaxed BaY3Te4O12 crystal.

a b c (Å): 11.6852 11.6852 9.1137
angles (deg): 90.00 90.00 120.00
Closest atoms and distances in Å follow each position.
Space group R32 (No. 155, hexagonal axes)
One atom of each set of equivalent atoms:
Ba 0.0000 0.0000 0.0000 (multiplicity 3)  6 O 2.86
Y 0.0000 0.5779 0.0000 (multiplicity 9)  6 O 2.21-2.45
Te 0.0000 0.0000 0.5000 (multiplicity 3)  3 O 2.05
Te 0.0000 0.3988 0.5000 (multiplicity 9)  3 O 1.95-2.04
O 0.0000 0.5659 0.5000 (multiplicity 9)  1 Te 1.95
O 0.0000 0.8244 0.5000 (multiplicity 9)  1 Te 2.05, 2 Y 2.21
O 0.0524 0.1923 0.2230 (multiplicity 18)  1 Te 2.04, 1 Y 2.25

## Properties
total DFT energy (no corrections) = -394.7 eV/cell
DOS(E_F) = 9.16 states/eV per cell


Entry 3:
A plane-wave DFT calculation with GGA-PBE was carried out for a relaxed Ba3YTe2O9 crystal.

a b c (Å): 6.1197 6.1197 7.5012
angles (deg): 90.00 90.00 120.00
Closest atoms and distances in Å follow each position.
Space group P-3m1 (No. 164)
One atom of each set of equivalent atoms:
Ba 0.0000 0.0000 0.0000 (multiplicity 1)  12 O 3.06-3.09
Ba 0.3333 0.6667 0.6787 (multiplicity 2)  12 O 2.99-3.12
Y 0.0000 0.0000 0.5000 (multiplicity 1)  6 O 2.25
Te 0.3333 0.6667 0.1729 (multiplicity 2)  6 O 2.05-2.19
O 0.0000 0.5000 0.0000 (multiplicity 3)  2 Te 2.19
O 0.1744 0.3487 0.3294 (multiplicity 6)  1 Te 2.05, 1 Y 2.25

## Properties
total DFT energy (no corrections) = -96.6 eV/cell
DOS(E_F) = 1.94 states/eV per cell


Entry 4:
A plane-wave DFT calculation with GGA-PBE was carried out for a relaxed Ba3Yb2TeO5 crystal.

a b c (Å): 4.4267 4.4267 12.2796
angles (deg): 90.00 90.00 90.00
Closest atoms and distances in Å follow each position.
Space group P4/mmm (No. 123)
One atom of each set of equivalent atoms:
Ba 0.0000 0.0000 0.0000 (multiplicity 1)  12 O 3.13-3.32
Ba 0.0000 0.0000 0.3285 (multiplicity 2)  4 O 2.71
Yb 0.5000 0.5000 0.1748 (multiplicity 2)  5 O 2.15-2.24
Te 0.5000 0.5000 0.5000 (multiplicity 1)  8 Ba 3.77, 2 Yb 3.99
O 0.0000 0.5000 0.2017 (multiplicity 4)  2 Yb 2.24
O 0.5000 0.5000 0.0000 (multiplicity 1)  2 Yb 2.15

## Properties
total DFT energy (no corrections) = -64.6 eV/cell
DOS(E_F) = 17.88 states/eV per cell


Entry 5:
A plane-wave DFT calculation with GGA-PBE was carried out for a relaxed BaZnTeO crystal.

a b c (Å): 4.3653 4.3653 6.4686
angles (deg): 90.00 90.00 120.00
Closest atoms and distances in Å follow each position.
Space group P3m1 (No. 156)
One atom of each set of equivalent atoms:
Ba 0.0000 0.0000 0.0000 (multiplicity 1)  3 O 2.61
Zn 0.3333 0.6667 0.4053 (multiplicity 1)  1 O 1.93
Te 0.6667 0.3333 0.5639 (multiplicity 1)  3 Zn 2.72
O 0.3333 0.6667 0.1071 (multiplicity 1)  1 Zn 1.93

## Properties
total DFT energy (no corrections) = -17.7 eV/cell
DOS(E_F) = 0.00 states/eV per cell


Entry 6:
A plane-wave DFT calculation with GGA-PBE was carried out for a relaxed BaZnTeO2 crystal.

a b c (Å): 4.6076 4.6076 5.0749
angles (deg): 90.00 90.00 90.00
Closest atoms and distances in Å follow each position.
Space group P4/mmm (No. 123)
One atom of each set of equivalent atoms:
Ba 0.0000 0.0000 0.0000 (multiplicity 1)  4 Te 3.26, 8 O 3.43
Zn 0.5000 0.5000 0.5000 (multiplicity 1)  4 O 2.30, 2 Te 2.54
Te 0.5000 0.5000 0.0000 (multiplicity 1)  2 Zn 2.54
O 0.0000 0.5000 0.5000 (multiplicity 2)  2 Zn 2.30

## Properties
total DFT energy (no corrections) = -19.6 eV/cell
DOS(E_F) = 3.44 states/eV per cell


> Which of these has the highest total DFT energy (no corrections)?

BaZnTeO